## Mg16Al12Mo (PBE)

Data for a relaxed structure of Mg16Al12Mo.

Energy ... -0.20555 Ry/atom
Energy relative to the elements ... 0.01 eV per atom
M_tot ... 0.00 μB/f.u.

a = 8.951 Å, b = 8.951 Å, c = 8.951 Å
α = 108.58°, β = 108.58°, γ = 108.58°
Fractional positions:
Mo (0.288, 0.288, 0.288)
Al (0.002, 0.184, 0.365)
Al (0.184, 0.365, 0.002)
Al (0.365, 0.002, 0.184)
Al (0.002, 0.365, 0.184)
Al (0.812, 0.194, 0.812)
Al (0.838, 0.648, 0.648)
Al (0.194, 0.812, 0.812)
Al (0.365, 0.184, 0.002)
Al (0.812, 0.812, 0.194)
Al (0.648, 0.648, 0.838)
Al (0.648, 0.838, 0.648)
Al (0.184, 0.002, 0.365)
Mg (0.003, 0.682, 0.403)
Mg (0.682, 0.403, 0.003)
Mg (0.585, 0.301, 0.585)
Mg (0.652, 0.006, 0.006)
Mg (0.006, 0.006, 0.652)
Mg (0.585, 0.585, 0.301)
Mg (0.993, 0.993, 0.993)
Mg (0.301, 0.585, 0.585)
Mg (0.320, 0.715, 0.320)
Mg (0.320, 0.320, 0.715)
Mg (0.403, 0.003, 0.682)
Mg (0.682, 0.003, 0.403)
Mg (0.003, 0.403, 0.682)
Mg (0.715, 0.320, 0.320)
Mg (0.403, 0.682, 0.003)
Mg (0.006, 0.652, 0.006)

---

## Mg2AlMo (PBE)

Data for a relaxed structure of Mg2AlMo.

Energy ... -0.31645 Ry/atom
Energy relative to the elements ... 0.14 eV per atom
M_tot ... 0.00 μB/f.u.

a = 4.500 Å, b = 2.810 Å, c = 5.729 Å
α = 77.60°, β = 90.00°, γ = 90.00°
Fractional positions:
Mg (0.500, 0.239, 0.248)
Mg (0.000, 0.883, 0.007)
Mo (0.000, 0.513, 0.533)
Al (0.500, 0.866, 0.712)

---

## Mg2AlMo (PBE)

Data for a relaxed structure of Mg2AlMo.

Energy ... -0.30750 Ry/atom
Energy relative to the elements ... 0.26 eV per atom
M_tot ... 0.00 μB/f.u.

a = 9.697 Å, b = 9.697 Å, c = 9.697 Å
α = 17.55°, β = 17.55°, γ = 17.55°
Fractional positions:
Mg (0.501, 0.501, 0.501)
Mg (0.999, 0.999, 0.999)
Al (0.750, 0.750, 0.750)
Mo (0.250, 0.250, 0.250)

---

## Mg2AlMo (PBE)

Data for a relaxed structure of Mg2AlMo.

Energy ... -0.31883 Ry/atom
Energy relative to the elements ... 0.10 eV per atom
M_tot ... 0.00 μB/f.u.

a = 2.833 Å, b = 2.833 Å, c = 9.267 Å
α = 90.00°, β = 90.00°, γ = 103.01°
Fractional positions:
Mg (0.500, 0.500, 0.271)
Mg (0.000, 0.000, 0.986)
Mo (0.000, 0.000, 0.514)
Al (0.500, 0.500, 0.729)

---

## MgAlMo3 (PBE)

Data for a relaxed structure of MgAlMo3.

Energy ... -0.41216 Ry/atom
Energy relative to the elements ... 1.96 eV per atom
M_tot ... 2.60 μB/f.u.

a = 4.578 Å, b = 4.578 Å, c = 4.578 Å
α = 90.00°, β = 90.00°, γ = 90.00°
Last column: magnetic moment on the atom in μB.
Fractional positions:
Mo (0.000, 0.000, 0.500)  0.84
Mo (0.500, 0.000, 0.000)  0.74
Mo (0.000, 0.500, 0.000)  0.76
Al (0.500, 0.500, 0.500)  -0.02
Mg (0.000, 0.000, 0.000)  0.03

---

## MgAl3Mo (PBE)

Data for a relaxed structure of MgAl3Mo.

Energy ... -0.31332 Ry/atom
Energy relative to the elements ... 0.47 eV per atom
M_tot ... 0.00 μB/f.u.

a = 4.841 Å, b = 4.841 Å, c = 4.841 Å
α = 90.00°, β = 90.00°, γ = 90.00°
Fractional positions:
Mg (0.500, 0.500, 0.500)
Mo (0.000, 0.000, 0.000)
Al (0.500, 0.000, 0.000)
Al (0.000, 0.500, 0.000)
Al (0.000, 0.000, 0.500)

---

## Mg14AlMo (PBE)

Data for a relaxed structure of Mg14AlMo.

Energy ... -0.16327 Ry/atom
Energy relative to the elements ... 0.08 eV per atom
M_tot ... 1.82 μB/f.u.

a = 6.231 Å, b = 6.231 Å, c = 10.208 Å
α = 90.00°, β = 90.00°, γ = 120.79°
Last column: magnetic moment on the atom in μB.
Fractional positions:
Mg (0.172, 0.828, 0.258)  0.00
Mg (0.334, 0.165, 0.500)  -0.01
Mg (0.668, 0.332, 0.750)  0.01
Mg (0.660, 0.831, 0.736)  0.00
Mg (0.169, 0.340, 0.264)  0.00
Mg (0.660, 0.831, 0.264)  0.00
Mg (0.833, 0.669, 0.000)  0.01
Mg (0.834, 0.166, 0.000)  0.00
Mg (0.172, 0.828, 0.742)  0.00
Mg (0.668, 0.332, 0.250)  0.01
Mg (0.169, 0.340, 0.736)  0.00
Mg (0.331, 0.167, 0.000)  0.01
Mg (0.333, 0.667, 0.000)  0.00
Mg (0.835, 0.666, 0.500)  -0.01
Al (0.830, 0.170, 0.500)  -0.01
Mo (0.331, 0.669, 0.500)  1.24

---

## Mg2AlMo (PBE)

Data for a relaxed structure of Mg2AlMo.

Energy ... -0.31735 Ry/atom
Energy relative to the elements ... 0.12 eV per atom
M_tot ... 0.00 μB/f.u.

a = 5.568 Å, b = 5.568 Å, c = 4.668 Å
α = 67.25°, β = 67.25°, γ = 31.60°
Fractional positions:
Mg (0.498, 0.498, 0.503)
Mg (0.002, 0.002, 0.997)
Mo (0.750, 0.750, 0.750)
Al (0.250, 0.250, 0.250)

---

## Mg2AlMo (PBE)

Data for a relaxed structure of Mg2AlMo.

Energy ... -0.31628 Ry/atom
Energy relative to the elements ... 0.14 eV per atom
M_tot ... 0.00 μB/f.u.

a = 2.951 Å, b = 3.940 Å, c = 6.094 Å
α = 90.00°, β = 90.00°, γ = 90.00°
Fractional positions:
Mg (0.000, 0.000, 0.993)
Mg (0.500, 0.500, 0.265)
Mo (0.000, 0.000, 0.518)
Al (0.500, 0.500, 0.724)

---

## Mg2AlMo (PBE)

Data for a relaxed structure of Mg2AlMo.

Energy ... -0.31403 Ry/atom
Energy relative to the elements ... 0.17 eV per atom
M_tot ... 0.00 μB/f.u.

a = 4.879 Å, b = 2.800 Å, c = 5.155 Å
α = 83.11°, β = 90.00°, γ = 90.00°
Fractional positions:
Mg (0.000, 0.981, 0.008)
Mg (0.000, 0.519, 0.492)
Al (0.500, 0.750, 0.750)
Mo (0.500, 0.250, 0.250)

---

## MgAlMo3 (PBE)

Data for a relaxed structure of MgAlMo3.

Energy ... -0.45399 Ry/atom
Energy relative to the elements ... 1.39 eV per atom
M_tot ... 0.00 μB/f.u.

a = 4.606 Å, b = 4.606 Å, c = 4.606 Å
α = 90.00°, β = 90.00°, γ = 90.00°
Fractional positions:
Al (0.000, 0.000, 0.000)
Mo (0.000, 0.500, 0.000)
Mo (0.500, 0.000, 0.000)
Mo (0.000, 0.000, 0.500)
Mg (0.500, 0.500, 0.500)

---

## Mg2AlMo (PBE)

Data for a relaxed structure of Mg2AlMo.

Energy ... -0.31715 Ry/atom
Energy relative to the elements ... 0.13 eV per atom
M_tot ... 0.74 μB/f.u.

a = 5.399 Å, b = 5.399 Å, c = 5.399 Å
α = 138.10°, β = 138.10°, γ = 60.74°
Last column: magnetic moment on the atom in μB.
Fractional positions:
Mo (0.250, 0.750, 0.500)  0.56
Mg (0.000, 0.000, 0.000)  0.01
Mg (0.500, 0.500, 0.000)  0.01
Al (0.750, 0.250, 0.500)  -0.01

---

## Mg14AlMo (PBE)

Data for a relaxed structure of Mg14AlMo.

Energy ... -0.16244 Ry/atom
Energy relative to the elements ... 0.10 eV per atom
M_tot ... 1.48 μB/f.u.

a = 6.239 Å, b = 6.239 Å, c = 10.077 Å
α = 90.00°, β = 90.00°, γ = 120.00°
Last column: magnetic moment on the atom in μB.
Fractional positions:
Mg (0.160, 0.840, 0.743)  0.00
Mg (0.500, 0.999, 0.500)  0.00
Mg (0.160, 0.320, 0.257)  0.00
Mg (0.680, 0.840, 0.257)  0.00
Mg (0.667, 0.333, 0.749)  0.01
Mg (0.001, 0.500, 0.500)  0.00
Mg (0.500, 0.999, 0.000)  0.01
Mg (0.500, 0.500, 0.000)  0.01
Mg (0.160, 0.320, 0.743)  0.00
Mg (0.001, 0.500, 0.000)  0.01
Mg (0.160, 0.840, 0.257)  0.00
Mg (0.500, 0.500, 0.500)  0.00
Mg (0.667, 0.333, 0.251)  0.01
Mg (0.680, 0.840, 0.743)  0.00
Al (0.000, 0.000, 0.000)  0.01
Mo (0.000, 0.000, 0.500)  0.91

---

## Mg2AlMo (PBE)

Data for a relaxed structure of Mg2AlMo.

Energy ... -0.31195 Ry/atom
Energy relative to the elements ... 0.20 eV per atom
M_tot ... 0.00 μB/f.u.

a = 5.563 Å, b = 5.563 Å, c = 5.563 Å
α = 147.51°, β = 129.29°, γ = 61.52°
Fractional positions:
Al (0.264, 0.764, 0.500)
Mo (0.489, 0.489, 0.000)
Mg (0.008, 0.008, 0.000)
Mg (0.739, 0.239, 0.500)

---

## Mg2AlMo (PBE)

Data for a relaxed structure of Mg2AlMo.

Energy ... -0.31767 Ry/atom
Energy relative to the elements ... 0.12 eV per atom
M_tot ... 0.31 μB/f.u.

a = 4.396 Å, b = 3.954 Å, c = 3.954 Å
α = 90.00°, β = 90.00°, γ = 90.00°
Last column: magnetic moment on the atom in μB.
Fractional positions:
Mg (0.000, 0.500, 0.500)  0.00
Mg (0.000, 0.000, 0.000)  0.00
Mo (0.500, 0.500, 0.000)  0.27
Al (0.500, 0.000, 0.500)  0.00

---

## Mg2AlMo (PBE)

Data for a relaxed structure of Mg2AlMo.

Energy ... -0.30806 Ry/atom
Energy relative to the elements ... 0.25 eV per atom
M_tot ... 0.62 μB/f.u.

a = 4.607 Å, b = 4.607 Å, c = 4.607 Å
α = 60.00°, β = 60.00°, γ = 60.00°
Last column: magnetic moment on the atom in μB.
Fractional positions:
Mg (0.000, 0.000, 0.000)  -0.01
Mg (0.750, 0.750, 0.750)  -0.01
Al (0.500, 0.500, 0.500)  -0.01
Mo (0.250, 0.250, 0.250)  0.58

---

## Mg2AlMo (PBE)

Data for a relaxed structure of Mg2AlMo.

Energy ... -0.31783 Ry/atom
Energy relative to the elements ... 0.12 eV per atom
M_tot ... 0.00 μB/f.u.

a = 2.821 Å, b = 2.821 Å, c = 9.111 Å
α = 90.00°, β = 90.00°, γ = 90.00°
Fractional positions:
Mo (0.000, 0.000, 0.516)
Mg (0.500, 0.500, 0.270)
Mg (0.000, 0.000, 0.983)
Al (0.500, 0.500, 0.731)

---

## Mg2AlMo (PBE)

Data for a relaxed structure of Mg2AlMo.

Energy ... -0.31481 Ry/atom
Energy relative to the elements ... 0.16 eV per atom
M_tot ... 0.00 μB/f.u.

a = 9.782 Å, b = 9.782 Å, c = 9.782 Å
α = 17.41°, β = 17.41°, γ = 17.41°
Fractional positions:
Mo (0.496, 0.496, 0.496)
Mg (0.245, 0.245, 0.245)
Mg (0.003, 0.003, 0.003)
Al (0.756, 0.756, 0.756)

---

## Mg2AlMo (PBE)

Data for a relaxed structure of Mg2AlMo.

Energy ... -0.31316 Ry/atom
Energy relative to the elements ... 0.18 eV per atom
M_tot ... 0.00 μB/f.u.

a = 3.289 Å, b = 3.289 Å, c = 6.779 Å
α = 90.00°, β = 90.00°, γ = 90.00°
Fractional positions:
Mo (0.000, 0.000, 0.527)
Mg (0.000, 0.000, 0.982)
Mg (0.500, 0.500, 0.279)
Al (0.500, 0.500, 0.711)

---

## Mg3AlMo (PBE)

Data for a relaxed structure of Mg3AlMo.

Energy ... -0.19826 Ry/atom
Energy relative to the elements ... 1.17 eV per atom
M_tot ... 2.41 μB/f.u.

a = 5.225 Å, b = 5.225 Å, c = 5.225 Å
α = 90.00°, β = 90.00°, γ = 90.00°
Last column: magnetic moment on the atom in μB.
Fractional positions:
Mg (0.500, 0.000, 0.000)  0.02
Mg (0.000, 0.500, 0.000)  0.01
Mg (0.000, 0.000, 0.500)  -0.01
Mo (0.000, 0.000, 0.000)  2.01
Al (0.500, 0.500, 0.500)  0.00

---

## MgAlMo4 (PBE)

Data for a relaxed structure of MgAlMo4.

Energy ... -0.57280 Ry/atom
Energy relative to the elements ... 0.32 eV per atom
M_tot ... 0.00 μB/f.u.

a = 5.276 Å, b = 5.276 Å, c = 5.276 Å
α = 60.00°, β = 60.00°, γ = 60.00°
Fractional positions:
Mo (0.375, 0.375, 0.375)
Mo (0.375, 0.375, 0.876)
Mo (0.876, 0.375, 0.375)
Mo (0.375, 0.876, 0.375)
Mg (0.000, 0.000, 0.000)
Al (0.750, 0.750, 0.750)

---

## Mg3AlMo (PBE)

Data for a relaxed structure of Mg3AlMo.

Energy ... -0.20230 Ry/atom
Energy relative to the elements ... 1.12 eV per atom
M_tot ... 4.53 μB/f.u.

a = 5.079 Å, b = 5.079 Å, c = 5.079 Å
α = 90.00°, β = 90.00°, γ = 90.00°
Last column: magnetic moment on the atom in μB.
Fractional positions:
Mg (0.000, 0.500, 0.000)  -0.01
Mg (0.500, 0.000, 0.000)  0.00
Mg (0.000, 0.000, 0.500)  0.00
Al (0.000, 0.000, 0.000)  0.06
Mo (0.500, 0.500, 0.500)  3.51

---

## Mg2AlMo (PBE)

Data for a relaxed structure of Mg2AlMo.

Energy ... -0.31441 Ry/atom
Energy relative to the elements ... 0.16 eV per atom
M_tot ... 0.56 μB/f.u.

a = 5.068 Å, b = 5.068 Å, c = 5.068 Å
α = 132.71°, β = 132.71°, γ = 69.11°
Last column: magnetic moment on the atom in μB.
Fractional positions:
Mg (0.000, 0.000, 0.000)  0.00
Mg (0.250, 0.750, 0.500)  0.00
Mo (0.500, 0.500, 0.000)  0.43
Al (0.750, 0.250, 0.500)  0.00

---

## Mg2AlMo (PBE)

Data for a relaxed structure of Mg2AlMo.

Energy ... -0.31298 Ry/atom
Energy relative to the elements ... 0.18 eV per atom
M_tot ... 0.00 μB/f.u.

a = 2.821 Å, b = 2.821 Å, c = 9.032 Å
α = 90.00°, β = 90.00°, γ = 95.43°
Fractional positions:
Al (0.500, 0.500, 0.750)
Mo (0.500, 0.500, 0.250)
Mg (0.000, 0.000, 0.493)
Mg (0.000, 0.000, 0.007)

---

## Mg6AlMo (PBE)

Data for a relaxed structure of Mg6AlMo.

Energy ... -0.21079 Ry/atom
Energy relative to the elements ... 0.15 eV per atom
M_tot ... 0.00 μB/f.u.

a = 6.165 Å, b = 6.165 Å, c = 4.845 Å
α = 90.00°, β = 90.00°, γ = 120.76°
Fractional positions:
Mo (0.320, 0.680, 0.500)
Mg (0.669, 0.331, 0.000)
Mg (0.653, 0.822, 0.000)
Mg (0.178, 0.347, 0.000)
Mg (0.326, 0.167, 0.500)
Mg (0.832, 0.168, 0.500)
Mg (0.833, 0.674, 0.500)
Al (0.189, 0.811, 0.000)

---

## Mg2AlMo (PBE)

Data for a relaxed structure of Mg2AlMo.

Energy ... -0.31301 Ry/atom
Energy relative to the elements ... 0.18 eV per atom
M_tot ... 0.00 μB/f.u.

a = 2.821 Å, b = 2.821 Å, c = 9.007 Å
α = 90.00°, β = 90.00°, γ = 90.00°
Fractional positions:
Mg (0.000, 0.000, 0.008)
Mg (0.000, 0.000, 0.492)
Mo (0.500, 0.500, 0.250)
Al (0.500, 0.500, 0.750)

---

## Mg2AlMo (PBE)

Data for a relaxed structure of Mg2AlMo.

Energy ... -0.30956 Ry/atom
Energy relative to the elements ... 0.23 eV per atom
M_tot ... 0.00 μB/f.u.

a = 2.857 Å, b = 4.423 Å, c = 5.592 Å
α = 90.00°, β = 90.00°, γ = 90.00°
Fractional positions:
Mg (0.000, 0.000, 0.010)
Mg (0.000, 0.000, 0.490)
Mo (0.500, 0.500, 0.250)
Al (0.500, 0.500, 0.750)